KCrSb2Te | PBE | optimized geometry

Calculated values
**Magnetization**: 2.49 μB per formula unit
**D(E_F)**: 0.6184 states/eV/atom
**Total energy**: -22.05 eV for the cell shown
**Offset from the most stable computed form**: 0.00 eV/f.u.
**Raw formation energy**: 0.011 eV per atom
**SG**: No. 123

Cell and atoms, written as POSCAR:
```
KCrSb2Te
1.0
5.128 0.000 0.000
0.000 5.128 0.000
0.000 0.000 5.820
Sb K Te Cr
2 1 1 1
Direct
0.000 0.500 0.000
0.500 0.000 0.000
0.500 0.500 0.500
0.000 0.000 0.500
0.000 0.000 0.000
```



KCrSb2Te | PBE | optimized geometry

Calculated values
**Magnetization**: 4.09 μB per formula unit
**D(E_F)**: 1.1850 states/eV/atom
**Total energy**: -15.00 eV for the cell shown
**Offset from the most stable computed form**: 7.05 eV/f.u.
**Raw formation energy**: 1.422 eV per atom
**SG**: No. 123

Cell and atoms, written as POSCAR:
```
KCrSb2Te
1.0
-5.091 2.609 -1.102
-1.571 -4.489 -3.365
-2.387 -2.678 4.688
Sb K Te Cr
2 1 1 1
Direct
0.000 0.500 0.000
0.500 0.000 0.000
0.000 0.000 0.000
0.000 0.000 0.500
0.500 0.500 0.500
```



K2ScCr | PBE | optimized geometry

Calculated values
**Magnetization**: 3.95 μB per formula unit
**D(E_F)**: 2.2377 states/eV/atom
**Total energy**: -27.23 eV for the cell shown
**Offset from the most stable computed form**: 2.05 eV/f.u.
**Formation energy from the elements**: 1.13 eV per atom
**SG**: No. 122

Cell and atoms, written as POSCAR:
```
K2ScCr
1.0
-5.696 10.038 3.532
-3.171 -5.425 10.305
-2.207 3.169 8.058
Sc Cr K
2 2 4
Direct
0.500 0.500 0.000
0.250 0.750 0.500
0.000 0.000 0.000
0.750 0.250 0.500
0.752 0.125 0.250
0.998 0.625 0.250
0.375 0.248 0.750
0.875 0.002 0.750
```



- The highest D(E_F) belongs to which entry?
  K2ScCr



- Which value of offset from the most stable computed form does entry 3 give?
  2.05 eV/f.u.



- Number 1 is which compound?
  KCrSb2Te